First-principles (GGA-PBE) data for a relaxed structure of Hf3ClO, as listed in Alexandria via LeMat-Bulk.

E_form (uncorrected): -459.6 meV per atom
Space group: No. 221
Crystal system: cubic
Magnetic moment: 0.0 Bohr magnetons per cell

a = 4.4622 Å, b = 4.4622 Å, c = 4.4622 Å
α = 90.00°, β = 90.00°, γ = 90.00°
Positions (direct):
Hf: 0.0000 0.0000 0.5000
Hf: 0.0000 0.5000 0.0000
Hf: 0.5000 0.0000 0.0000
Cl: 0.5000 0.5000 0.5000
O: 0.0000 0.0000 0.0000